DFT (GGA-PBE) results for a relaxed structure of ZrPaIn.

energy relative to the elements	0.018	eV/atom
DOS at the Fermi energy	5.404	states/eV/f.u.
magnetic moment	0.00	Bohr magnetons per cell
energy above the most stable polymorph in this dataset	0.128	eV/atom
theoretical density	9.93	g/cm³

Unit cell a=3.2797 b=5.3950 c=16.5239 alpha=90.00 beta=90.00 gamma=90.00
Closest atoms and distances in Å follow each position.
Space group Fmm2 (No. 42)
Inequivalent atoms, fractional coordinates:
Zr 0.0000 0.0000 0.0000 x4  2 In 3.10, 6 Zr 3.16-3.28, 2 Pa 3.21
Pa 0.0000 0.0000 0.3333 x4  6 Pa 3.16-3.28, 2 Zr 3.21, 2 In 3.31
In 0.0000 0.0000 0.6593 x4  2 Zr 3.10, 6 In 3.16-3.28, 2 Pa 3.31